No. 1
The following is a DFT calculation (GGA-PBEsol) of Ir2Rh after structural relaxation.

a = 5.151 Å, b = 5.151 Å, c = 6.406 Å
α = 104.36°, β = 104.36°, γ = 30.53°
Atoms (fractional coordinates):
Ir (0.029, 0.029, 0.305)
Ir (0.362, 0.362, 0.973)
Ir (0.638, 0.638, 0.027)
Ir (0.971, 0.971, 0.695)
Rh (0.307, 0.307, 0.361)
Rh (0.693, 0.693, 0.639)

Properties
- formation energy from the elements (kJ per mole of atoms) = 4
- energy above the lowest structure with this stoichiometry (meV per atom) = 66.6
- mass density (g/cm3) = 19.39
- SG = No. 12

No. 2
The following is a DFT calculation (GGA-PBEsol) of ZnCd2Rh after structural relaxation.

a = 3.001 Å, b = 4.254 Å, c = 5.431 Å
α = 90.00°, β = 105.69°, γ = 90.00°
Atoms (fractional coordinates):
Zn (0.000, 0.000, 0.000)
Cd (0.276, 0.000, 0.544)
Cd (0.607, 0.500, 0.217)
Rh (0.878, 0.500, 0.751)

Properties
- formation energy from the elements (kJ per mole of atoms) = -9
- mass density (g/cm3) = 9.78
- SG = No. 6

No. 3
The following is a DFT calculation (GGA-PBEsol) of BaSi2Pb2 after structural relaxation.

a = 6.935 Å, b = 6.935 Å, c = 6.935 Å
α = 139.49°, β = 139.49°, γ = 58.64°
Atoms (fractional coordinates):
Ba (0.000, 0.000, 0.000)
Si (0.404, 0.404, 0.000)
Si (0.596, 0.596, 0.000)
Pb (0.250, 0.750, 0.500)
Pb (0.750, 0.250, 0.500)

Properties
- total DFT energy (no corrections) (eV per atom) = -4.4473
- mass density (g/cm3) = 7.24
- SG = No. 139

No. 4
The following is a DFT calculation (GGA-PBEsol) of BaMnCO3F2 after structural relaxation.

a = 4.906 Å, b = 4.906 Å, c = 9.750 Å
α = 90.00°, β = 90.00°, γ = 120.00°
Atoms (fractional coordinates):
Ba (0.000, 0.000, 0.000)
Ba (0.000, 0.000, 0.500)
Mn (0.333, 0.667, 0.250)
Mn (0.667, 0.333, 0.750)
C (0.333, 0.667, 0.750)
C (0.667, 0.333, 0.250)
O (0.119, 0.746, 0.750)
O (0.254, 0.373, 0.750)
O (0.373, 0.119, 0.250)
O (0.627, 0.881, 0.750)
O (0.746, 0.627, 0.250)
O (0.881, 0.254, 0.250)
F (0.333, 0.667, 0.041)
F (0.333, 0.667, 0.459)
F (0.667, 0.333, 0.541)
F (0.667, 0.333, 0.959)

Properties
- total DFT energy (no corrections) (eV per atom) = -7.4491
- mass density (g/cm3) = 4.74
- SG = No. 176